Record 1
Crystalline Ti8FeBi2 at its relaxed geometry, computed with PBE.

Values from the calculation:
The calculation puts the formation energy at -0.09 eV/atom. As for the symmetry: C2/m (12).

Unit cell a=8.0084 b=8.0084 c=5.4097 alpha=95.66 beta=95.66 gamma=34.42
Fractional positions:
Ti  0.0403  0.0403  0.2665
Ti  0.2326  0.2326  0.3400
Ti  0.3577  0.3577  0.8932
Ti  0.4180  0.4180  0.4393
Ti  0.5820  0.5820  0.5607
Ti  0.6423  0.6423  0.1068
Ti  0.7674  0.7674  0.6600
Ti  0.9597  0.9597  0.7335
Fe  0.5000  0.5000  0.0000
Bi  0.1585  0.1585  0.8040
Bi  0.8415  0.8415  0.1960

=====

Record 2
Crystalline YTaAg at its relaxed geometry, computed with PBE.

Values from the calculation:
The calculation puts the formation energy at 0.22 eV/atom. As for the symmetry: I4mm (107). The energy above the lowest structure with this stoichiometry comes out at 0 meV per atom.

Unit cell a=6.8184 b=6.8184 c=6.8184 alpha=153.13 beta=153.13 gamma=38.37
Fractional positions:
Y  0.0000  0.0000  0.0000
Ta  0.6745  0.6745  0.0000
Ag  0.3188  0.3188  0.0000

=====

Record 3
Crystalline MnHgPBr at its relaxed geometry, computed with PBE.

Values from the calculation:
As for the symmetry: P1 (1). The energy above the lowest structure with this stoichiometry comes out at 130 meV per atom. For the formation energy (no corrections), the calculation gives -0.055 eV per atom.

Unit cell a=3.1257 b=3.3449 c=9.0496 alpha=79.77 beta=80.90 gamma=89.95
Fractional positions:
Mn  0.0000  0.0000  0.0000
Hg  0.6905  0.2035  0.5876
P  0.5494  0.5520  0.8909
Br  0.3961  0.8911  0.2256

=====

Record 4
Crystalline Ti3GaCu at its relaxed geometry, computed with PBE.

Values from the calculation:
The calculation puts the formation energy at 0.46 eV/atom. As for the symmetry: Pm-3m (221). The energy above the lowest structure with this stoichiometry comes out at 371 meV per atom.

Unit cell a=4.5691 b=4.5691 c=4.5691 alpha=90.00 beta=90.00 gamma=90.00
Fractional positions:
Ti  0.0000  0.0000  0.5000
Ti  0.0000  0.5000  0.0000
Ti  0.5000  0.0000  0.0000
Ga  0.5000  0.5000  0.5000
Cu  0.0000  0.0000  0.0000

=====

Record 5
Crystalline KMgCr2 at its relaxed geometry, computed with PBE.

Values from the calculation:
The calculation puts the formation energy at 1.15 eV/atom. As for the symmetry: P4/mmm (123).

Unit cell a=4.7696 b=4.7696 c=4.5897 alpha=90.00 beta=90.00 gamma=90.00
Fractional positions:
K  0.0000  0.0000  0.0000
Mg  0.5000  0.5000  0.0000
Cr  0.0000  0.5000  0.5000
Cr  0.5000  0.0000  0.5000

=====

Record 6
Crystalline BaLu2O at its relaxed geometry, computed with PBE.

Values from the calculation:
As for the symmetry: R-3m (166). For the formation energy (no corrections), the calculation gives -1.093 eV per atom.

Unit cell a=9.8356 b=9.8356 c=9.8356 alpha=20.36 beta=20.36 gamma=20.36
Fractional positions:
Ba  0.0000  0.0000  0.0000
Lu  0.1226  0.1226  0.1226
Lu  0.8774  0.8774  0.8774
O  0.5000  0.5000  0.5000

=====

Record 7
Crystalline NaLaSn2H at its relaxed geometry, computed with PBE.

Values from the calculation:
The value obtained for the calculated total energy is -3.83 eV per atom. As for the symmetry: P4/mmm (123).

Unit cell a=4.9798 b=4.9798 c=4.6671 alpha=90.00 beta=90.00 gamma=90.00
Fractional positions:
Na  0.0000  0.0000  0.0000
La  0.5000  0.5000  0.0000
Sn  0.0000  0.5000  0.5000
Sn  0.5000  0.0000  0.5000
H  0.5000  0.5000  0.5000

=====

Record 8
Crystalline CeHg6Au2 at its relaxed geometry, computed with PBE.

Values from the calculation:
The calculation puts the formation energy at -0.05 eV/atom. As for the symmetry: Immm (71).

Unit cell a=8.5361 b=8.5361 c=8.5361 alpha=158.30 beta=105.23 gamma=78.94
Fractional positions:
Ce  0.0000  0.0000  0.0000
Hg  0.0566  0.7003  0.3563
Hg  0.2917  0.5000  0.7917
Hg  0.3440  0.7003  0.6437
Hg  0.6560  0.2997  0.3563
Hg  0.7083  0.5000  0.2083
Hg  0.9434  0.2997  0.6437
Au  0.3922  0.8922  0.5000
Au  0.6078  0.1078  0.5000

=====

For reference, DOS(E_F) by record: 0.873 0.960 0.381 0.143 0.546 0.789 0.403 1.059 states/eV/atom.